No. 1
The following is a PBE calculation of a relaxed LaNd2Mg3AgPt2 crystal, from the Open Quantum Materials Database.

a = 4.1474 Å, b = 7.6960 Å, c = 7.6960 Å
α = 119.65°, β = 90.00°, γ = 90.00°
Element x y z (fractional)
Ag: 0.0000 0.0010 0.0010
La: 0.0000 0.5760 0.5760
Mg: 0.5000 0.7523 0.0030
Mg: 0.5000 0.2441 0.2441
Mg: 0.5000 0.0030 0.7523
Nd: 0.0000 0.4208 0.0007
Nd: 0.0000 0.0007 0.4208
Pt: 0.5000 0.6671 0.3351
Pt: 0.5000 0.3351 0.6671

Values from the calculation:
Total DFT energy (no corrections): -4.485 eV/atom
Volume: 213.49 Å³/cell
M_tot: 0.0 Bohr magnetons per cell

***

No. 2
The following is a PBE calculation of a relaxed La2NdMg3AgPt2 crystal, from the Open Quantum Materials Database.

a = 4.1682 Å, b = 7.7463 Å, c = 7.7463 Å
α = 120.30°, β = 90.00°, γ = 90.00°
Element x y z (fractional)
Ag: 0.0000 0.9987 0.9987
La: 0.0000 0.9996 0.4233
La: 0.0000 0.4233 0.9996
Mg: 0.5000 0.2493 0.2493
Mg: 0.5000 0.9971 0.7540
Mg: 0.5000 0.7540 0.9971
Nd: 0.0000 0.5796 0.5796
Pt: 0.5000 0.6664 0.3320
Pt: 0.5000 0.3320 0.6664

Values from the calculation:
Total DFT energy (no corrections): -4.510 eV/atom
Volume: 215.94 Å³/cell
M_tot: 0.0 Bohr magnetons per cell

***

No. 3
The following is a PBE calculation of a relaxed La2Mg4NiAg crystal, from the Open Quantum Materials Database.

a = 8.3281 Å, b = 5.6618 Å, c = 5.6618 Å
α = 45.69°, β = 90.00°, γ = 90.00°
Element x y z (fractional)
Ag: 0.0000 0.2288 0.2288
La: 0.5000 0.0573 0.0573
La: 0.0000 0.9404 0.9404
Mg: 0.3147 0.3478 0.3478
Mg: 0.6853 0.3478 0.3478
Mg: 0.2071 0.6515 0.6515
Mg: 0.7929 0.6515 0.6515
Ni: 0.5000 0.7749 0.7749

Values from the calculation:
Total DFT energy (no corrections): -3.295 eV/atom
Volume: 191.03 Å³/cell
M_tot: 0.0 Bohr magnetons per cell